First-principles (GGA-PBE) data for Pm2DyIn3 after structural relaxation, as listed in Alexandria.

abc: 3.8046 3.8046 11.5426
angles: 90.00 90.00 90.00
Element x y z (fractional)
Pm  0.0000  0.0000  0.1706
Pm  0.0000  0.0000  0.8294
Dy  0.0000  0.0000  0.5000
In  0.5000  0.5000  0.0000
In  0.5000  0.5000  0.3418
In  0.5000  0.5000  0.6582

The size of the total moment is 0.00 μB/f.u. The value obtained for the offset from the most stable computed form is 0.000 eV/atom. Its total energy is -25.24 eV per cell.